# PBE ZrAg2Ru, optimized geometry
data_ZrAg2Ru
_space_group_name_H-M_alt 'C m m m'
_space_group_IT_number 65
_space_group_name_Hall '-C 2 2'
_cell_length_a 5.427
_cell_length_b 8.637
_cell_length_c 3.023
_cell_angle_alpha 90.00
_cell_angle_beta 90.00
_cell_angle_gamma 90.00
loop_
_atom_site_label
_atom_site_fract_x
_atom_site_fract_y
_atom_site_fract_z
Zr1 0.000 0.000 0.000
Ag1 0.250 0.250 0.500
Ru1 0.000 0.500 0.000
# * volume: 142 Å³/cell
# * E: -45.544 eV per cell
# * M_tot: 0.55 μB/f.u.
# * DFT formation energy: 189 meV per atom